# HoTm2

A relaxed structure of HoTm2 (PBE, the Alexandria database).

Unit cell a=3.5235 b=3.5235 c=25.2099 alpha=90.00 beta=90.00 gamma=120.00
Space group R-3m (No. 166, hexagonal axes)
Unique sites:
Ho 0.0000 0.0000 0.0000 x3
Tm 0.0000 0.0000 0.2217 x6

Output
Total magnetic moment = 0.00 μB per formula unit
Volume = 90.4 Å³/f.u.
Offset from the most stable computed form = 0.000 eV/atom
Theoretical density = 9.2 g/cm³
DFT total energy = -40.59 eV per cell

# Ho4Tm3

A relaxed structure of Ho4Tm3 (PBE, the Alexandria database).

Unit cell a=11.058 b=4.951 c=7.829 alpha=90.00 beta=98.19 gamma=90.00
Space group C2/m (No. 12)
Unique sites:
Ho 0.143 0.000 0.428 x4
Ho 0.214 0.500 0.142 x4
Tm 0.000 0.000 0.000 x2
Tm 0.072 0.500 0.714 x4

Output
Total magnetic moment = 0.00 μB per formula unit
Volume = 212.1 Å³/f.u.
Theoretical density = 9.1 g/cm³
DFT total energy = -63.12 eV per cell

# Ho13Tm2

A relaxed structure of Ho13Tm2 (PBE, the Alexandria database).

Unit cell a=8.7393 b=8.7393 c=23.7722 alpha=90.00 beta=90.00 gamma=120.00
Space group R-3m (No. 166, hexagonal axes)
Unique sites:
Ho 0.0000 0.0000 0.0000 x3
Ho 0.0877 0.5438 0.8030 x18
Ho 0.0913 0.5457 0.0585 x18
Tm 0.0000 0.0000 0.2574 x6

Output
Total magnetic moment = 0.00 μB per formula unit
Volume = 524.1 Å³/f.u.
Offset from the most stable computed form = 0.534 eV/atom
Theoretical density = 7.9 g/cm³
DFT total energy = -178.04 eV per cell

# Ho13Tm2

A relaxed structure of Ho13Tm2 (PBE, the Alexandria database).

Unit cell a=6.530 b=8.852 c=8.853 alpha=65.86 beta=81.49 gamma=81.47
Space group P-1 (No. 2)
Unique sites:
Ho 0.000 0.000 0.000 x1
Ho 0.104 0.449 0.749 x2
Ho 0.197 0.201 0.201 x2
Ho 0.290 0.626 0.979 x2
Ho 0.311 0.954 0.641 x2
Ho 0.398 0.399 0.402 x2
Ho 0.487 0.169 0.837 x2
Tm 0.096 0.783 0.418 x2

Output
Total magnetic moment = 0.00 μB per formula unit
Volume = 459.7 Å³/f.u.
Offset from the most stable computed form = 0.000 eV/atom
Theoretical density = 9.0 g/cm³
DFT total energy = -67.36 eV per cell

# HoTm8

A relaxed structure of HoTm8 (PBE, the Alexandria database).

Unit cell a=10.464 b=10.464 c=4.922 alpha=90.00 beta=90.00 gamma=90.00
Space group I4/mmm (No. 139)
Unique sites:
Ho 0.000 0.000 0.000 x2
Tm 0.000 0.333 0.000 x8
Tm 0.167 0.167 0.500 x8

Output
Total magnetic moment = 0.00 μB per formula unit
Volume = 269.4 Å³/f.u.
Theoretical density = 9.3 g/cm³
DFT total energy = -80.22 eV per cell

# HoTm3

A relaxed structure of HoTm3 (PBE, the Alexandria database).

Unit cell a=4.932 b=4.932 c=9.876 alpha=90.00 beta=90.00 gamma=90.00
Space group I4/mmm (No. 139)
Unique sites:
Ho 0.000 0.000 0.000 x2
Tm 0.000 0.000 0.500 x2
Tm 0.000 0.500 0.250 x4

Output
Total magnetic moment = 0.00 μB per formula unit
Volume = 120.1 Å³/f.u.
Offset from the most stable computed form = 0.031 eV/atom
Theoretical density = 9.3 g/cm³
DFT total energy = -35.77 eV per cell

# HoTm

A relaxed structure of HoTm (PBE, the Alexandria database).

Unit cell a=3.479 b=12.900 c=5.436 alpha=90.00 beta=90.00 gamma=90.00
Space group Cmcm (No. 63)
Unique sites:
Ho 0.000 0.065 0.250 x4
Tm 0.000 0.326 0.250 x4

Output
Total magnetic moment = 0.00 μB per formula unit
Volume = 61.0 Å³/f.u.
Offset from the most stable computed form = 0.000 eV/atom
Theoretical density = 9.1 g/cm³
DFT total energy = -35.80 eV per cell

# HoTm2U

A relaxed structure of HoTm2U (PBE, the Alexandria database).

Unit cell a=3.2593 b=3.2593 c=36.1626 alpha=90.00 beta=90.00 gamma=120.00
Space group R-3m (No. 166, hexagonal axes)
Unique sites:
Ho 0.0000 0.0000 0.0000 x3
Tm 0.0000 0.0000 0.4124 x6
U 0.0000 0.0000 0.5000 x3

Output
Total magnetic moment = 1.99 μB per formula unit
Volume = 110.9 Å³/f.u.
Theoretical density = 11.1 g/cm³
DFT total energy = -69.35 eV per cell

# HoTmU

A relaxed structure of HoTmU (PBE, the Alexandria database).

Unit cell a=16.806 b=3.603 c=5.662 alpha=90.00 beta=98.37 gamma=90.00
Space group C2/m (No. 12)
Unique sites:
Ho 0.111 0.000 0.314 x4
Tm 0.070 0.500 0.797 x4
U 0.241 0.000 0.841 x4

Output
Total magnetic moment = 1.49 μB per formula unit
Volume = 84.8 Å³/f.u.
Theoretical density = 11.2 g/cm³
DFT total energy = -78.78 eV per cell

# HoTmV4

A relaxed structure of HoTmV4 (PBE, the Alexandria database).

Unit cell a=7.668 b=7.668 c=7.668 alpha=90.00 beta=90.00 gamma=90.00
Space group F-43m (No. 216)
Unique sites:
Ho 0.000 0.000 0.000 x4
Tm 0.250 0.250 0.250 x4
V 0.125 0.125 0.625 x16

Output
Total magnetic moment = 5.20 μB per formula unit
Volume = 112.7 Å³/f.u.
Theoretical density = 7.9 g/cm³
DFT total energy = -173.79 eV per cell

# HoTm2V

A relaxed structure of HoTm2V (PBE, the Alexandria database).

Unit cell a=3.3332 b=3.3332 c=33.8910 alpha=90.00 beta=90.00 gamma=120.00
Space group R-3m (No. 166, hexagonal axes)
Unique sites:
Ho 0.0000 0.0000 0.0000 x3
Tm 0.0000 0.0000 0.4177 x6
V 0.0000 0.0000 0.5000 x3

Output
Total magnetic moment = 3.06 μB per formula unit
Volume = 108.7 Å³/f.u.
Offset from the most stable computed form = 0.397 eV/atom
Theoretical density = 8.5 g/cm³
DFT total energy = -60.81 eV per cell

# HoTm2V

A relaxed structure of HoTm2V (PBE, the Alexandria database).

Unit cell a=3.552 b=3.552 c=8.433 alpha=90.00 beta=90.00 gamma=90.00
Space group P4/mmm (No. 123)
Unique sites:
Ho 0.000 0.000 0.000 x1
Tm 0.500 0.500 0.299 x2
V 0.000 0.000 0.500 x1

Output
Total magnetic moment = 3.07 μB per formula unit
Volume = 106.4 Å³/f.u.
Offset from the most stable computed form = 0.000 eV/atom
Theoretical density = 8.6 g/cm³
DFT total energy = -21.86 eV per cell

Question: Which value of total magnetic moment does entry 6 give?
Answer: 0.00 μB per formula unit